1.
Material: Dy3GaH
Method: DFT, PBE-GGA
State: optimized geometry

Cell lengths 4.7390, 4.7390, 4.7390 Å; angles 90.00, 90.00, 90.00 degrees
Space group Pm-3m (No. 221)
Inequivalent atoms, fractional coordinates:
1 Dy 0.0000 0.0000 0.5000 (multiplicity 3)
2 Ga 0.5000 0.5000 0.5000 (multiplicity 1)
3 H 0.0000 0.0000 0.0000 (multiplicity 1)

=====

2.
Material: Pa2Sn3Bi3
Method: DFT, PBE-GGA
State: optimized geometry

Cell lengths 4.6670, 4.7490, 9.7776 Å; angles 90.00, 90.00, 90.00 degrees
Space group Pmmm (No. 47)
Inequivalent atoms, fractional coordinates:
1 Pa 0.0000 0.0000 0.2419 (multiplicity 2)
2 Sn 0.0000 0.5000 0.0000 (multiplicity 1)
3 Sn 0.0000 0.5000 0.5000 (multiplicity 1)
4 Sn 0.5000 0.0000 0.0000 (multiplicity 1)
5 Bi 0.5000 0.0000 0.5000 (multiplicity 1)
6 Bi 0.5000 0.5000 0.2445 (multiplicity 2)

Summary:
Energy relative to the elements: -0.184 eV per atom

=====

no.,M_tot (μB/cell),raw total energy (eV/atom)
1,1.064,-4.362
2,0.000,-5.514